First-principles (PBE with a Hubbard U) data for a relaxed structure of CaVInO2, as listed in Alexandria via LeMat-Bulk.

DOS at the Fermi energy	0.38	states/eV/atom
density	3.96	Mg/m³

Unit cell a=4.3733 b=4.3733 c=5.2137 alpha=90.00 beta=90.00 gamma=90.00
Space group P4/mmm (No. 123)
Unique sites:
Ca  0.0000  0.0000  0.0000
V  0.5000  0.5000  0.0000
In  0.5000  0.5000  0.5000
O  0.0000  0.5000  0.5000

First-principles (PBE with a Hubbard U) data for a relaxed structure of CaV2InO8, as listed in Alexandria via LeMat-Bulk.

DOS at the Fermi energy	0.76	states/eV/atom
density	3.39	Mg/m³

Unit cell a=5.7139 b=5.7139 c=6.6570 alpha=90.00 beta=90.00 gamma=120.00
Space group P-3m1 (No. 164)
Unique sites:
Ca  0.0000  0.0000  0.0000
V  0.3333  0.6667  0.2085
In  0.0000  0.0000  0.5000
O  0.1620  0.3240  0.2827
O  0.3333  0.6667  0.9578

| no. | DFT total energy (eV per cell) |
| --- | --- |
| 1 | -21.9 |
| 2 | -81.5 |